# CaY2Al

A crystal of CaY2Al relaxed with PBEsol (meta-GGA SCAN, Alexandria via LeMat-Bulk).

Properties
- Crystal system: tetragonal
- DFT formation energy: -0.45 eV per formula unit
- Calculated volume: 27.093 Å³ per atom

Structure (CIF):
```
data_CaY2Al
_cell_length_a 4.8338
_cell_length_b 4.8338
_cell_length_c 4.6380
_cell_angle_alpha 90.00
_cell_angle_beta 90.00
_cell_angle_gamma 90.00
_space_group_name_H-M_alt 'P 4/m m m'
_space_group_IT_number 123
_space_group_name_Hall '-P 4 2'
loop_
_atom_site_label
_atom_site_type_symbol
_atom_site_fract_x
_atom_site_fract_y
_atom_site_fract_z
Ca1 Ca 0.0000 0.0000 0.0000
Y1 Y 0.0000 0.5000 0.5000
Al1 Al 0.5000 0.5000 0.0000
```